# Zn2SiP4I

Crystalline Zn2SiP4I at its relaxed geometry (GGA-PBE, the Open Quantum Materials Database).

Unit cell a=5.3489 b=5.3489 c=12.9824 alpha=90.00 beta=90.00 gamma=90.00
Last column: nearest neighbours and their distance in Å.
Space group I-4 (No. 82)
Symmetry-distinct sites (fractional):
Zn1 0.0000 0.0000 0.0000 x2  4 P 2.36
Zn2 0.0000 0.5000 0.2500 x2  4 P 2.40
Si1 0.0000 0.0000 0.5000 x2  4 P 2.30
P1 0.1417 0.6512 0.4143 x8  1 P 2.22, 1 Si 2.30, 2 Zn 2.36-2.40
I1 0.0000 0.5000 0.7500 x2  4 P 3.42, 4 Zn 3.78

## Properties
* crystal system: tetragonal
* DFT total energy: -62.18 eV per cell